# Li2TcSe PBE relaxed
data_Li2TcSe
_symmetry_space_group_name_H-M 'P 1'
_symmetry_Int_Tables_number 1
_symmetry_space_group_name_Hall 'P 1'
_cell_length_a 4.279
_cell_length_b 4.279
_cell_length_c 4.279
_cell_angle_alpha 60.00
_cell_angle_beta 60.00
_cell_angle_gamma 60.00
loop_
_atom_site_label
_atom_site_fract_x
_atom_site_fract_y
_atom_site_fract_z
Li1 0.250 0.250 0.250
Li2 0.000 0.000 0.000
Tc1 0.750 0.750 0.750
Se1 0.500 0.500 0.500
# energy: -4.398 eV/atom
# Fermi-level density of states: 2.51 states/eV/f.u.
# formation energy from raw total energies: 0.02 eV per atom